1.
18
Lattice="2.661 -10.854 0.000 2.661 10.854 0.000 0.000 0.000 10.182" Properties=species:S:1:pos:R:3 comment="PBE Pm5ErTm2Sc, optimized geometry" e_tot_ev_per_atom=-4.714 dos_ef_per_ev_fu=13.2 space_group="Cmc2_1 (36)" pbc="T T T"
Pm 2.661 10.853 0.000
Pm 2.661 -10.853 5.091
Pm 2.661 8.111 7.639
Pm 2.661 6.068 4.465
Pm 2.661 6.060 0.638
Pm 2.661 0.021 2.546
Pm 2.661 -0.021 7.637
Pm 2.661 -6.060 5.729
Pm 2.661 -6.068 9.556
Pm 2.661 -8.111 2.548
Er 2.661 8.664 2.547
Er 2.661 -8.664 7.638
Tm 2.661 2.512 5.117
Tm 2.661 2.504 10.158
Tm 2.661 -2.504 5.067
Tm 2.661 -2.512 0.026
Sc 2.661 4.645 7.642
Sc 2.661 -4.645 2.551


2.
5
Lattice="3.917 0.000 0.000 0.000 3.917 0.000 0.000 0.000 3.917" Properties=species:S:1:pos:R:3 comment="PBE HfBe3Fe, optimized geometry" e_tot_ev_per_atom=-5.814 dos_ef_per_ev_fu=2.8 space_group="Pm-3m (221)" pbc="T T T"
Hf 0.000 0.000 0.000
Be 0.000 1.958 1.958
Be 1.958 0.000 1.958
Be 1.958 1.958 0.000
Fe 1.958 1.958 1.958


3.
16
Lattice="5.192 0.000 0.000 0.000 5.192 0.000 0.000 0.000 20.744" Properties=species:S:1:pos:R:3 comment="PBE AcPr3Sm12, optimized geometry" e_tot_ev_per_atom=-4.672 dos_ef_per_ev_fu=24.2 space_group="P4/mmm (123)" pbc="T T T"
Ac 0.000 0.000 0.000
Pr 0.000 0.000 5.219
Pr 0.000 0.000 10.372
Pr 0.000 0.000 15.524
Sm 0.000 2.596 2.666
Sm 0.000 2.596 7.801
Sm 0.000 2.596 12.943
Sm 0.000 2.596 18.078
Sm 2.596 0.000 2.666
Sm 2.596 0.000 7.801
Sm 2.596 0.000 12.943
Sm 2.596 0.000 18.078
Sm 2.596 2.596 0.000
Sm 2.596 2.596 5.239
Sm 2.596 2.596 10.372
Sm 2.596 2.596 15.505